5
Lattice="-1.489 1.181 4.086 3.642 -1.883 1.871 2.197 3.920 -0.332" Properties=species:S:1:pos:R:3 comment="LiCo3Os, optimized geometry, DFT GGA-PBE" dft_energy_ev_per_atom=-5.656 delta_e_f_ev_per_atom=1.236 m_tot_mub_per_cell=3.30 polymorph_energy_ev_per_fu=1.28 pbc="T T T"
Co 1.099 1.960 -0.166
Co -0.745 0.591 2.043
Co 1.821 -0.941 0.936
Li 2.175 1.609 2.813
Os 0.000 0.000 0.000